A relaxed structure of Ca2AcO. Source: the Alexandria database, functional PBE.

a b c (Å): 3.3246 3.3246 9.5603
angles (deg): 90.00 90.00 90.00
With the nearest neighbours (Å) after each atom.
Sites, in units of the cell vectors:
Ca  0.0000  0.0000  0.1529  4 O 2.77, 1 Ca 2.92
Ca  0.0000  0.0000  0.8471  4 O 2.77, 1 Ca 2.92
Ac  0.5000  0.5000  0.5000  4 Ac 3.32
O  0.5000  0.5000  0.0000  8 Ca 2.77

Values from the calculation:
**Space group**: No. 123



A relaxed structure of Ca3AcO. Source: the Alexandria database, functional PBE.

a b c (Å): 5.2844 5.2844 5.2844
angles (deg): 90.00 90.00 90.00
With the nearest neighbours (Å) after each atom.
Sites, in units of the cell vectors:
Ca  0.0000  0.0000  0.5000  2 O 2.64
Ca  0.0000  0.5000  0.0000  2 O 2.64
Ca  0.5000  0.0000  0.0000  2 O 2.64
Ac  0.5000  0.5000  0.5000  12 Ca 3.74
O  0.0000  0.0000  0.0000  6 Ca 2.64

Values from the calculation:
**Space group**: No. 221



A relaxed structure of CaAc2O. Source: the Alexandria database, functional PBE.

a b c (Å): 10.6221 10.6221 10.6221
angles (deg): 21.01 21.01 21.01
With the nearest neighbours (Å) after each atom.
Sites, in units of the cell vectors:
Ca  0.0000  0.0000  0.0000  2 Ac 3.71, 6 Ca 3.87
Ac  0.1190  0.1190  0.1190  3 O 2.68
Ac  0.8810  0.8810  0.8810  3 O 2.68
O  0.5000  0.5000  0.5000  6 Ac 2.68

Values from the calculation:
**Space group**: No. 166



A relaxed structure of Ca4Ac2O. Source: the Alexandria database, functional PBE.

a b c (Å): 11.4729 11.4729 11.4729
angles (deg): 156.01 156.01 34.18
With the nearest neighbours (Å) after each atom.
Sites, in units of the cell vectors:
Ca  0.0000  0.5000  0.5000  2 O 2.38
Ca  0.1158  0.1158  0.0000  1 O 2.54
Ca  0.5000  0.0000  0.5000  2 O 2.38
Ca  0.8842  0.8842  0.0000  1 O 2.54
Ac  0.3040  0.3040  0.0000  5 Ca 3.80-4.13, 4 Ac 4.12
Ac  0.6960  0.6960  0.0000  5 Ca 3.80-4.13, 4 Ac 4.12
O  0.0000  0.0000  0.0000  6 Ca 2.38-2.54

Values from the calculation:
**Space group**: No. 139



These records have E values of -16.57 -18.93 -19.37 -25.69 eV per cell, in the order they appear.
These records have DOS at the Fermi energy values of 2.91 4.84 4.43 7.70 states/eV/cell, in the order they appear.
These records have E_form (uncorrected) values of -3.50 -3.86 -4.19 -4.50 eV/f.u., in the order they appear.